Record 1
Computed, not measured: a relaxed structure of MnIn2Re at the PBE level of DFT.

a = 4.6312 Å, b = 4.6312 Å, c = 4.6312 Å
α = 60.00°, β = 60.00°, γ = 60.00°
Atoms (fractional coordinates):
Mn1 0.0000 0.0000 0.0000
In1 0.2500 0.2500 0.2500
In2 0.7500 0.7500 0.7500
Re1 0.5000 0.5000 0.5000

Summary:
ΔH_f (0 K) = 2.06 eV per formula unit
Symmetry = Fm-3m (225)
E above lowest polymorph = 0.249 eV per atom
Total moment = 3.21 μB per formula unit

=====

Record 2
Computed, not measured: a relaxed structure of K2Rb2SI2 at the PBE level of DFT.

a = 10.4484 Å, b = 10.4484 Å, c = 10.4484 Å
α = 146.85°, β = 146.85°, γ = 47.59°
Atoms (fractional coordinates):
K1 0.0000 0.5000 0.5000
K2 0.5000 0.0000 0.5000
Rb1 0.1651 0.1651 0.0000
Rb2 0.8349 0.8349 0.0000
S1 0.0000 0.0000 0.0000
I1 0.3589 0.3589 0.0000
I2 0.6411 0.6411 0.0000

Summary:
Symmetry = I4/mmm (139)
Total moment = 0.00 μB per formula unit
Uncorrected formation energy = -8.8 eV per formula unit

=====

Record 3
Computed, not measured: a relaxed structure of BaHgBr4 at the PBE level of DFT.

a = 8.7553 Å, b = 8.7553 Å, c = 8.7553 Å
α = 106.42°, β = 106.42°, γ = 115.76°
Atoms (fractional coordinates):
Ba1 0.3750 0.6250 0.7500
Ba2 0.6250 0.3750 0.2500
Hg1 0.1250 0.8750 0.2500
Hg2 0.8750 0.1250 0.7500
Br1 0.1076 0.6745 0.4331
Br2 0.2587 0.3255 0.9331
Br3 0.3255 0.2587 0.4331
Br4 0.3255 0.8924 0.0669
Br5 0.6745 0.1076 0.9331
Br6 0.6745 0.7413 0.5669
Br7 0.7413 0.6745 0.0669
Br8 0.8924 0.3255 0.5669

Summary:
Symmetry = I4_1/amd (141)
E above lowest polymorph = 0.009 eV per atom
Total moment = 0.00 μB per formula unit
Uncorrected formation energy = -7.8 eV per formula unit

=====

Record 4
Computed, not measured: a relaxed structure of HfB2C at the PBE level of DFT.

a = 4.6455 Å, b = 4.6455 Å, c = 4.6455 Å
α = 107.33°, β = 107.33°, γ = 113.84°
Atoms (fractional coordinates):
Hf1 0.0000 0.0000 0.0000
Hf2 0.7500 0.2500 0.5000
B1 0.2329 0.1250 0.6079
B2 0.3750 0.7671 0.8921
B3 0.5171 0.6250 0.3921
B4 0.8750 0.4829 0.1079
C1 0.2500 0.7500 0.5000
C2 0.5000 0.5000 0.0000

Summary:
ΔH_f (0 K) = 1.23 eV per formula unit
Symmetry = I-42d (122)
Total moment = 0.00 μB per formula unit

=====

Record 5
Computed, not measured: a relaxed structure of Zn2AgP at the PBE level of DFT.

a = 4.8723 Å, b = 4.8723 Å, c = 2.8911 Å
α = 90.00°, β = 90.00°, γ = 112.05°
Atoms (fractional coordinates):
Zn1 0.0000 0.5000 0.0000
Zn2 0.5000 0.0000 0.0000
Ag1 0.0000 0.0000 0.5000
P1 0.5000 0.5000 0.5000

Summary:
ΔH_f (0 K) = 0.67 eV per formula unit
Symmetry = Cmmm (65)
Total moment = 0.00 μB per formula unit

=====

Record 6
Computed, not measured: a relaxed structure of Cs2HRu at the PBE level of DFT.

a = 5.2912 Å, b = 5.2912 Å, c = 5.2912 Å
α = 60.00°, β = 60.00°, γ = 60.00°
Atoms (fractional coordinates):
Cs1 0.2500 0.2500 0.2500
Cs2 0.7500 0.7500 0.7500
H1 0.0000 0.0000 0.0000
Ru1 0.5000 0.5000 0.5000

Summary:
Symmetry = Fm-3m (225)
E above lowest polymorph = 0.100 eV per atom
Total moment = 2.86 μB per formula unit

=====

Record 7
Computed, not measured: a relaxed structure of AcP3Ir5 at the PBE level of DFT.

a = 6.4242 Å, b = 6.4242 Å, c = 12.4164 Å
α = 90.00°, β = 90.00°, γ = 143.86°
Atoms (fractional coordinates):
Ac1 0.1519 0.8481 0.7500
Ac2 0.8481 0.1519 0.2500
P1 0.1206 0.8794 0.2500
P2 0.3929 0.6071 0.0470
P3 0.3929 0.6071 0.4530
P4 0.6071 0.3929 0.5470
P5 0.6071 0.3929 0.9530
P6 0.8794 0.1206 0.7500
Ir1 0.0000 0.0000 0.0000
Ir2 0.0000 0.0000 0.5000
Ir3 0.2131 0.7869 0.0771
Ir4 0.2131 0.7869 0.4229
Ir5 0.4342 0.5658 0.6386
Ir6 0.4342 0.5658 0.8614
Ir7 0.5658 0.4342 0.1386
Ir8 0.5658 0.4342 0.3614
Ir9 0.7869 0.2131 0.5771
Ir10 0.7869 0.2131 0.9229

Summary:
ΔH_f (0 K) = -5.79 eV per formula unit
Symmetry = Cmcm (63)
Total moment = 0.00 μB per formula unit

=====

Record 8
Computed, not measured: a relaxed structure of Na2Pa2TaN6 at the PBE level of DFT.

a = 5.9051 Å, b = 5.9051 Å, c = 6.0538 Å
α = 98.44°, β = 98.44°, γ = 119.35°
Atoms (fractional coordinates):
Na1 0.1558 0.8442 0.0000
Na2 0.8442 0.1558 0.0000
Pa1 0.3340 0.6660 0.5000
Pa2 0.6660 0.3340 0.5000
Ta1 0.0000 0.0000 0.5000
N1 0.0438 0.3674 0.6782
N2 0.2568 0.2568 0.3232
N3 0.3674 0.0438 0.6782
N4 0.6326 0.9562 0.3218
N5 0.7432 0.7432 0.6768
N6 0.9562 0.6326 0.3218

Summary:
Symmetry = C2/m (12)
Total moment = 0.00 μB per formula unit
Uncorrected formation energy = -10.9 eV per formula unit

=====

Record 9
Computed, not measured: a relaxed structure of Zn4CoOs at the PBE level of DFT.

a = 4.8553 Å, b = 4.8553 Å, c = 4.8553 Å
α = 60.00°, β = 60.00°, γ = 60.00°
Atoms (fractional coordinates):
Zn1 0.1249 0.1249 0.1249
Zn2 0.1249 0.1249 0.6254
Zn3 0.1249 0.6254 0.1249
Zn4 0.6254 0.1249 0.1249
Co1 0.5000 0.5000 0.5000
Os1 0.7500 0.7500 0.7500

Summary:
ΔH_f (0 K) = 1.80 eV per formula unit
Symmetry = F-43m (216)
Total moment = 2.31 μB per formula unit

=====

Record 10
Computed, not measured: a relaxed structure of Nd2GdGa at the PBE level of DFT.

a = 3.6309 Å, b = 3.6309 Å, c = 9.0474 Å
α = 90.00°, β = 90.00°, γ = 90.00°
Atoms (fractional coordinates):
Nd1 0.0000 0.0000 0.2094
Nd2 0.0000 0.0000 0.7906
Gd1 0.5000 0.5000 0.5000
Ga1 0.5000 0.5000 0.0000

Summary:
ΔH_f (0 K) = -0.95 eV per formula unit
Symmetry = P4/mmm (123)
E above lowest polymorph = 0.012 eV per atom
Total moment = 7.55 μB per formula unit

=====

Record 11
Computed, not measured: a relaxed structure of RbBaIn2 at the PBE level of DFT.

a = 7.8731 Å, b = 7.8731 Å, c = 7.8731 Å
α = 102.35°, β = 102.35°, γ = 124.90°
Atoms (fractional coordinates):
Rb1 0.0000 0.0000 0.0000
Rb2 0.7500 0.2500 0.5000
Ba1 0.2500 0.7500 0.5000
Ba2 0.5000 0.5000 0.0000
In1 0.1365 0.6250 0.0115
In2 0.3750 0.3865 0.5115
In3 0.6135 0.1250 0.9885
In4 0.8750 0.8635 0.4885

Summary:
ΔH_f (0 K) = 0.51 eV per formula unit
Symmetry = I-42d (122)
E above lowest polymorph = 0.239 eV per atom
Total moment = 0.00 μB per formula unit

=====

Record 12
Computed, not measured: a relaxed structure of CaZr2Be at the PBE level of DFT.

a = 3.3037 Å, b = 3.3037 Å, c = 8.3090 Å
α = 90.00°, β = 90.00°, γ = 90.00°
Atoms (fractional coordinates):
Ca1 0.0000 0.0000 0.0000
Zr1 0.0000 0.0000 0.5959
Zr2 0.5000 0.5000 0.3471
Be1 0.5000 0.5000 0.7620

Summary:
ΔH_f (0 K) = 0.66 eV per formula unit
Symmetry = P4mm (99)
Total moment = 0.00 μB per formula unit